No. 1
TaAl2Re after structural relaxation. Source: Alexandria, functional GGA-PBE.

Cell lengths 4.4386, 4.4386, 4.4386 Å; angles 60.00, 60.00, 60.00 degrees
Sites, in units of the cell vectors:
Ta  0.0000  0.0000  0.0000
Al  0.2500  0.2500  0.2500
Al  0.7500  0.7500  0.7500
Re  0.5000  0.5000  0.5000

## Properties
E_form = 0.0314 eV per atom
V = 62 Å³/f.u.
density of states at the Fermi level = 4.26 states/eV per cell
polymorph energy (0 for the lowest one) = 32.51 kJ/mol of atoms
magnetic moment = 0.000 μB/f.u.

***

No. 2
Ta2AlRe after structural relaxation. Source: Alexandria, functional GGA-PBE.

Cell lengths 5.1917, 5.1917, 5.1917 Å; angles 136.04, 136.04, 63.92 degrees
Sites, in units of the cell vectors:
Ta  0.2500  0.7500  0.5000
Al  0.5000  0.5000  0.0000
Ta  0.0000  0.0000  0.0000
Re  0.7500  0.2500  0.5000

## Properties
E_form = -0.0977 eV per atom
V = 67 Å³/f.u.
density of states at the Fermi level = 2.93 states/eV per cell
magnetic moment = 0.000 μB/f.u.

***

No. 3
Ta4AlRe after structural relaxation. Source: Alexandria, functional GGA-PBE.

Cell lengths 5.3398, 5.3398, 5.3398 Å; angles 60.00, 60.00, 60.00 degrees
Sites, in units of the cell vectors:
Ta  0.3751  0.3751  0.8746
Ta  0.3751  0.3751  0.3751
Ta  0.8746  0.3751  0.3751
Ta  0.3751  0.8746  0.3751
Al  0.7500  0.7500  0.7500
Re  0.0000  0.0000  0.0000

## Properties
E_form = 0.3670 eV per atom
V = 108 Å³/f.u.
density of states at the Fermi level = 9.10 states/eV per cell
magnetic moment = 0.000 μB/f.u.

***

No. 4
Ta2AlRe after structural relaxation. Source: Alexandria, functional GGA-PBE.

Cell lengths 9.1658, 9.1658, 9.1658 Å; angles 18.59, 18.59, 18.59 degrees
Sites, in units of the cell vectors:
Ta  0.4966  0.4966  0.4966
Re  0.7500  0.7500  0.7500
Ta  0.0034  0.0034  0.0034
Al  0.2500  0.2500  0.2500

## Properties
E_form = 0.0947 eV per atom
V = 68 Å³/f.u.
density of states at the Fermi level = 6.17 states/eV per cell
magnetic moment = 0.000 μB/f.u.

***

No. 5
Ta2AlRe after structural relaxation. Source: Alexandria, functional GGA-PBE.

Cell lengths 5.3418, 5.3418, 4.5211 Å; angles 65.05, 65.05, 35.18 degrees
Sites, in units of the cell vectors:
Ta  0.9870  0.9870  0.0128
Ta  0.7426  0.7426  0.7575
Al  0.5147  0.5147  0.4851
Re  0.2556  0.2556  0.2447

## Properties
E_form = -0.2291 eV per atom
V = 67 Å³/f.u.
density of states at the Fermi level = 1.58 states/eV per cell
magnetic moment = 0.000 μB/f.u.

***

No. 6
TaAlRe after structural relaxation. Source: Alexandria, functional GGA-PBE.

Cell lengths 4.3224, 4.3224, 4.3224 Å; angles 60.00, 60.00, 60.00 degrees
Sites, in units of the cell vectors:
Re  0.7500  0.7500  0.7500
Ta  0.0000  0.0000  0.0000
Al  0.5000  0.5000  0.5000

## Properties
E_form = 0.2775 eV per atom
V = 57 Å³/f.u.
density of states at the Fermi level = 5.42 states/eV per cell
polymorph energy (0 for the lowest one) = 49.43 kJ/mol of atoms
magnetic moment = 0.000 μB/f.u.

***

No. 7
TaAl2Re after structural relaxation. Source: Alexandria, functional GGA-PBE.

Cell lengths 5.4132, 5.1210, 2.7465 Å; angles 81.48, 76.88, 117.88 degrees
Sites, in units of the cell vectors:
Al  0.5000  0.0000  0.5000
Al  0.0000  0.0000  0.0000
Re  0.0000  0.5000  0.5000
Ta  0.5000  0.5000  0.0000

## Properties
E_form = -0.1273 eV per atom
V = 63 Å³/f.u.
density of states at the Fermi level = 2.56 states/eV per cell
polymorph energy (0 for the lowest one) = 17.20 kJ/mol of atoms
magnetic moment = 0.000 μB/f.u.

***

No. 8
Ta2AlRe after structural relaxation. Source: Alexandria, functional GGA-PBE.

Cell lengths 9.4640, 9.4640, 9.4640 Å; angles 17.58, 17.58, 17.58 degrees
Sites, in units of the cell vectors:
Ta  0.2470  0.2470  0.2470
Re  0.7535  0.7535  0.7535
Al  0.4951  0.4951  0.4951
Ta  0.0045  0.0045  0.0045

## Properties
E_form = 0.1308 eV per atom
V = 67 Å³/f.u.
density of states at the Fermi level = 6.53 states/eV per cell
magnetic moment = 0.000 μB/f.u.

***

No. 9
TaAl2Re after structural relaxation. Source: Alexandria, functional GGA-PBE.

Cell lengths 2.7742, 2.7742, 8.5989 Å; angles 90.00, 90.00, 107.87 degrees
Sites, in units of the cell vectors:
Al  0.0000  0.0000  0.4895
Al  0.0000  0.0000  0.0105
Re  0.5000  0.5000  0.2500
Ta  0.5000  0.5000  0.7500

## Properties
E_form = -0.0636 eV per atom
V = 63 Å³/f.u.
density of states at the Fermi level = 3.00 states/eV per cell
polymorph energy (0 for the lowest one) = 23.35 kJ/mol of atoms
magnetic moment = 0.000 μB/f.u.

***

No. 10
TaAlRe after structural relaxation. Source: Alexandria, functional GGA-PBE.

Cell lengths 6.9669, 6.7657, 2.7965 Å; angles 82.32, 74.24, 23.44 degrees
Sites, in units of the cell vectors:
Al  0.9955  0.9955  0.0045
Ta  0.6688  0.6688  0.3312
Re  0.3358  0.3358  0.6642

## Properties
E_form = -0.1131 eV per atom
V = 48 Å³/f.u.
density of states at the Fermi level = 2.21 states/eV per cell
polymorph energy (0 for the lowest one) = 11.75 kJ/mol of atoms
magnetic moment = 0.000 μB/f.u.

***

No. 11
Ta2Al2Re after structural relaxation. Source: Alexandria, functional GGA-PBE.

Cell lengths 6.6856, 6.6856, 3.6037 Å; angles 90.00, 90.00, 90.00 degrees
Sites, in units of the cell vectors:
Re  0.5000  0.5000  0.0000
Al  0.1316  0.3684  0.0000
Al  0.3684  0.8684  0.0000
Ta  0.8306  0.3306  0.5000
Al  0.8684  0.6316  0.0000
Ta  0.6694  0.8306  0.5000
Ta  0.3306  0.1694  0.5000
Ta  0.1694  0.6694  0.5000
Re  0.0000  0.0000  0.0000
Al  0.6316  0.1316  0.0000

## Properties
E_form = -0.1037 eV per atom
V = 81 Å³/f.u.
density of states at the Fermi level = 8.30 states/eV per cell
magnetic moment = 0.000 μB/f.u.

***

No. 12
TaAl2Re after structural relaxation. Source: Alexandria, functional GGA-PBE.

Cell lengths 4.3018, 2.7918, 5.3562 Å; angles 78.10, 90.00, 90.00 degrees
Sites, in units of the cell vectors:
Al  0.0000  0.0697  0.0076
Re  0.5000  0.2500  0.2500
Al  0.0000  0.4303  0.4924
Ta  0.5000  0.7500  0.7500

## Properties
E_form = -0.1620 eV per atom
V = 63 Å³/f.u.
density of states at the Fermi level = 2.51 states/eV per cell
polymorph energy (0 for the lowest one) = 13.85 kJ/mol of atoms
magnetic moment = 0.000 μB/f.u.